[1]
Here is a geometry-optimized Li3U2PaSe6 structure from Alexandria. Energies are from PBE.

```
12
Lattice="6.904 -0.001 0.001 -3.451 5.980 0.001 -1.151 -1.993 6.715" Properties=species:S:1:pos:R:3 pbc="T T T"
Li -2.297 3.984 3.358
Li 4.599 0.002 3.358
Li 1.151 1.993 3.358
U 0.000 3.987 0.001
U 3.453 1.992 0.001
Pa 0.000 0.000 0.000
Se 3.448 2.000 4.949
Se 2.306 3.992 1.765
Se -1.146 1.986 1.767
Se 0.009 3.986 4.949
Se -0.003 -0.006 4.951
Se 2.293 0.000 1.767
```

Magnetization (μB/atom): 0.66
E_form (uncorrected) (eV/atom): -1.222
Symmetry: C2/m, No. 12

[2]
Here is a geometry-optimized LiUPa2Se4 structure from Alexandria. Energies are from PBE.

```
8
Lattice="-0.935 1.408 3.586 -5.408 -4.509 0.361 5.664 -3.091 2.691" Properties=species:S:1:pos:R:3 pbc="T T T"
Li -3.172 -1.550 1.974
U 0.000 0.000 0.000
Pa 2.364 -0.841 3.138
Pa 0.128 -3.800 1.526
Se -0.511 -1.204 2.531
Se -0.168 -4.988 4.107
Se 2.895 -3.563 2.154
Se -2.639 -4.038 0.898
```

Magnetization (μB/atom): 0.47
E_form (uncorrected) (eV/atom): -1.186
Symmetry: P2/m, No. 10

[3]
Here is a geometry-optimized Li3PaV2Se6 structure from Alexandria. Energies are from PBE.

```
12
Lattice="-0.561 -3.054 5.518 5.639 0.006 -2.879 0.092 6.547 2.453" Properties=species:S:1:pos:R:3 pbc="T T T"
Li 4.626 2.757 -0.218
Li 0.544 0.742 5.310
Li 2.585 1.750 2.546
Pa 0.000 0.000 0.000
V 3.335 -1.131 0.241
V 1.743 -1.917 2.398
Se 2.715 2.231 5.366
Se 3.803 -0.526 2.616
Se 2.455 1.268 -0.274
Se 4.958 3.338 2.329
Se 1.366 4.025 2.476
Se 0.212 0.161 2.763
```

Magnetization (μB/atom): 0.17
E_form (uncorrected) (eV/atom): -1.047
Symmetry: C2/m, No. 12

[4]
Here is a geometry-optimized Li3Y2PaSe6 structure from Alexandria. Energies are from PBE.

```
12
Lattice="7.015 -0.001 0.000 -3.507 6.076 0.000 -1.170 -2.026 6.545" Properties=species:S:1:pos:R:3 pbc="T T T"
Li -2.323 4.041 3.273
Li 4.661 0.008 3.273
Li 1.169 2.025 3.273
Y 0.001 4.051 0.000
Y 3.508 2.025 0.000
Pa 0.000 0.000 0.000
Se 3.503 2.032 4.854
Se 2.344 4.059 1.686
Se -1.164 2.017 1.692
Se 0.010 4.050 4.854
Se -0.006 -0.010 4.860
Se 2.329 0.000 1.692
```

Magnetization (μB/atom): 0.14
E_form (uncorrected) (eV/atom): -1.538
Symmetry: C2/m, No. 12

[5]
Here is a geometry-optimized Li3Y3PaSe8 structure from Alexandria. Energies are from PBE.

```
15
Lattice="8.200 0.000 0.000 -4.100 7.100 -0.027 0.000 -4.713 6.520" Properties=species:S:1:pos:R:3 pbc="T T T"
Li 0.000 0.000 0.000
Li -2.050 3.550 -0.013
Li 2.050 3.550 -0.013
Y 4.100 -2.357 3.260
Y 2.050 1.194 3.247
Y -2.050 1.194 3.247
Pa 0.000 -2.357 3.260
Se 0.000 2.371 1.595
Se 4.100 0.016 4.899
Se 4.100 2.393 1.618
Se 0.000 -0.006 4.875
Se 2.069 5.910 1.605
Se 2.031 -3.523 4.888
Se -2.069 5.910 1.605
Se 6.169 -3.523 4.888
```

Magnetization (μB/atom): 0.06
E_form (uncorrected) (eV/atom): -1.617
Symmetry: R-3m, No. 166

[6]
Here is a geometry-optimized Li3YPa2Se6 structure from Alexandria. Energies are from PBE.

```
12
Lattice="-3.431 -5.001 -3.413 4.196 -1.651 5.301 -5.347 2.830 3.593" Properties=species:S:1:pos:R:3 pbc="T T T"
Li 0.269 -0.787 5.665
Li -4.852 -3.036 -0.185
Li -2.291 -1.911 2.740
Y 0.000 0.000 0.000
Pa 1.657 -2.767 2.399
Pa -0.892 -3.886 -0.512
Se -4.646 -3.433 2.615
Se -0.816 -4.280 2.359
Se 0.063 -0.390 2.865
Se -2.111 -2.320 5.511
Se -3.767 0.457 3.121
Se -2.471 -1.503 -0.030
```

Magnetization (μB/atom): 0.30
E_form (uncorrected) (eV/atom): -1.398
Symmetry: C2/m, No. 12

[7]
Here is a geometry-optimized LiY2PaSe6 structure from Alexandria. Energies are from PBE.

```
10
Lattice="-5.686 0.216 3.399 2.559 -4.270 4.553 2.338 5.218 3.580" Properties=species:S:1:pos:R:3 pbc="T T T"
Li -3.073 0.117 1.836
Y -4.328 -1.922 5.628
Y -4.439 2.822 5.142
Pa -0.947 0.603 6.096
Se -3.077 0.388 4.479
Se -1.855 3.115 6.350
Se 1.434 0.513 4.673
Se -0.976 0.037 0.583
Se -0.518 0.884 8.729
Se -1.740 -1.844 6.859
```

Magnetization (μB/atom): 0.00
E_form (uncorrected) (eV/atom): -1.202
Symmetry: P4mm, No. 99

[8]
Here is a geometry-optimized Li2Y2PaSe6 structure from Alexandria. Energies are from PBE.

```
11
Lattice="7.096 -0.009 0.086 -3.515 6.164 0.086 -1.271 -2.185 6.447" Properties=species:S:1:pos:R:3 pbc="T T T"
Li 5.303 1.035 0.086
Li -1.722 5.121 0.086
Y -0.601 3.007 3.309
Y 2.911 0.964 3.309
Pa -0.636 -1.093 3.224
Se 1.757 3.020 4.963
Se -1.845 0.907 4.876
Se 0.553 0.950 1.656
Se 1.700 -1.156 4.876
Se 4.155 3.063 1.742
Se 0.609 5.126 1.742
```

Magnetization (μB/atom): 0.09
E_form (uncorrected) (eV/atom): -1.592
Symmetry: C2/m, No. 12

- What is the formula in the first record?
  Li3U2PaSe6